Version 1
A relaxed structure of Er2PuZr. Source: Alexandria, functional PBE.

Values from the calculation:
Space group ... P4/mmm (123)
ρ ... 10.25 g cm⁻³

abc: 4.7440 4.7440 4.8227
angles: 90.00 90.00 90.00
Last column: nearest neighbours and their distance in Å.
Fractional coordinates of all 4 atoms:
Er 0.0000 0.5000 0.0000  4 Er 3.35, 4 Zr 3.38, 4 Pu 3.38
Er 0.5000 0.0000 0.0000  4 Er 3.35, 4 Zr 3.38, 4 Pu 3.38
Pu 0.0000 0.0000 0.5000  4 Zr 3.35, 8 Er 3.38
Zr 0.5000 0.5000 0.5000  4 Pu 3.35, 8 Er 3.38

***

Version 2
A relaxed structure of Er2PuZr. Source: Alexandria, functional PBE.

Values from the calculation:
Space group ... R3m (160)
ρ ... 10.07 g cm⁻³

abc: 3.4036 3.4036 33.0338
angles: 90.00 90.00 120.00
Last column: nearest neighbours and their distance in Å.
Fractional coordinates of all 12 atoms:
Er 0.0000 0.0000 0.0000  3 Zr 3.28, 6 Er 3.40, 3 Pu 3.48
Er 0.0000 0.0000 0.1597  3 Zr 3.30, 6 Er 3.40, 3 Pu 3.48
Er 0.3333 0.6667 0.6667  3 Zr 3.28, 6 Er 3.40, 3 Pu 3.48
Er 0.3333 0.6667 0.8264  3 Zr 3.30, 6 Er 3.40, 3 Pu 3.48
Er 0.6667 0.3333 0.3333  3 Zr 3.28, 6 Er 3.40, 3 Pu 3.48
Er 0.6667 0.3333 0.4930  3 Zr 3.30, 6 Er 3.40, 3 Pu 3.48
Pu 0.0000 0.0000 0.5799  6 Pu 3.40, 6 Er 3.48
Pu 0.3333 0.6667 0.2465  6 Pu 3.40, 6 Er 3.48
Pu 0.6667 0.3333 0.9132  6 Pu 3.40, 6 Er 3.48
Zr 0.0000 0.0000 0.7460  6 Er 3.28-3.30, 6 Zr 3.40
Zr 0.3333 0.6667 0.4127  6 Er 3.28-3.30, 6 Zr 3.40
Zr 0.6667 0.3333 0.0794  6 Er 3.28-3.30, 6 Zr 3.40

***

Stability verdict: version 2, ahead by 3.1 kJ/mol of atoms

***

Version 1
A relaxed structure of ErPuZr2. Source: Alexandria, functional PBE.

Values from the calculation:
Space group ... R3m (160)
ρ ... 9.72 g cm⁻³

abc: 3.3168 3.3168 31.9475
angles: 90.00 90.00 120.00
Last column: nearest neighbours and their distance in Å.
Fractional coordinates of all 12 atoms:
Er 0.0000 0.0000 0.0000  6 Er 3.32, 6 Zr 3.32-3.35
Er 0.3333 0.6667 0.6667  6 Er 3.32, 6 Zr 3.32-3.35
Er 0.6667 0.3333 0.3333  6 Er 3.32, 6 Zr 3.32-3.35
Pu 0.0000 0.0000 0.1670  6 Zr 3.21-3.23, 6 Pu 3.32
Pu 0.3333 0.6667 0.8337  6 Zr 3.21-3.23, 6 Pu 3.32
Pu 0.6667 0.3333 0.5003  6 Zr 3.21-3.23, 6 Pu 3.32
Zr 0.0000 0.0000 0.4195  3 Pu 3.21, 6 Zr 3.32, 3 Er 3.35
Zr 0.0000 0.0000 0.5816  3 Pu 3.23, 6 Zr 3.32, 3 Er 3.32
Zr 0.3333 0.6667 0.0862  3 Pu 3.21, 6 Zr 3.32, 3 Er 3.35
Zr 0.3333 0.6667 0.2483  3 Pu 3.23, 6 Zr 3.32, 3 Er 3.32
Zr 0.6667 0.3333 0.7529  3 Pu 3.21, 6 Zr 3.32, 3 Er 3.35
Zr 0.6667 0.3333 0.9150  3 Pu 3.23, 6 Zr 3.32, 3 Er 3.32

***

Version 2
A relaxed structure of ErPuZr2. Source: Alexandria, functional PBE.

Values from the calculation:
Space group ... P4/mmm (123)
ρ ... 9.78 g cm⁻³

abc: 3.7994 3.7994 6.9846
angles: 90.00 90.00 90.00
Last column: nearest neighbours and their distance in Å.
Fractional coordinates of all 4 atoms:
Er 0.0000 0.0000 0.0000  8 Zr 3.33, 2 Pu 3.49
Pu 0.0000 0.0000 0.5000  8 Zr 3.09
Zr 0.5000 0.5000 0.2827  1 Zr 3.04, 4 Pu 3.09, 4 Er 3.33
Zr 0.5000 0.5000 0.7173  1 Zr 3.04, 4 Pu 3.09, 4 Er 3.33

***

Version 3
A relaxed structure of ErPuZr2. Source: Alexandria, functional PBE.

Values from the calculation:
Space group ... P4/mmm (123)
ρ ... 9.81 g cm⁻³

abc: 4.6446 4.6446 4.6581
angles: 90.00 90.00 90.00
Last column: nearest neighbours and their distance in Å.
Fractional coordinates of all 4 atoms:
Er 0.0000 0.0000 0.0000  4 Pu 3.28, 8 Zr 3.29
Pu 0.5000 0.5000 0.0000  4 Er 3.28, 8 Zr 3.29
Zr 0.0000 0.5000 0.5000  4 Zr 3.28, 4 Er 3.29, 4 Pu 3.29
Zr 0.5000 0.0000 0.5000  4 Zr 3.28, 4 Er 3.29, 4 Pu 3.29

***

Stability verdict: version 3, ahead by 0.5 kJ/mol of atoms

***

Version 1
A relaxed structure of ErPu2Zr. Source: Alexandria, functional PBE.

Values from the calculation:
Space group ... R-3m (166)
ρ ... 11.81 g cm⁻³

abc: 3.3371 3.3371 32.6581
angles: 90.00 90.00 120.00
Last column: nearest neighbours and their distance in Å.
Fractional coordinates of all 12 atoms:
Er 0.0000 0.0000 0.0000  6 Er 3.34, 6 Pu 3.44
Er 0.3333 0.6667 0.6667  6 Er 3.34, 6 Pu 3.44
Er 0.6667 0.3333 0.3333  6 Er 3.34, 6 Pu 3.44
Pu 0.0000 0.0000 0.2462  3 Zr 3.23, 6 Pu 3.34, 3 Er 3.44
Pu 0.0000 0.0000 0.7538  3 Zr 3.23, 6 Pu 3.34, 3 Er 3.44
Pu 0.3333 0.6667 0.4205  3 Zr 3.23, 6 Pu 3.34, 3 Er 3.44
Pu 0.3333 0.6667 0.9129  3 Zr 3.23, 6 Pu 3.34, 3 Er 3.44
Pu 0.6667 0.3333 0.0871  3 Zr 3.23, 6 Pu 3.34, 3 Er 3.44
Pu 0.6667 0.3333 0.5795  3 Zr 3.23, 6 Pu 3.34, 3 Er 3.44
Zr 0.0000 0.0000 0.5000  6 Pu 3.23, 6 Zr 3.34
Zr 0.3333 0.6667 0.1667  6 Pu 3.23, 6 Zr 3.34
Zr 0.6667 0.3333 0.8333  6 Pu 3.23, 6 Zr 3.34

***

Version 2
A relaxed structure of ErPu2Zr. Source: Alexandria, functional PBE.

Values from the calculation:
Space group ... P4/mmm (123)
ρ ... 12.00 g cm⁻³

abc: 4.6419 4.6419 4.7946
angles: 90.00 90.00 90.00
Last column: nearest neighbours and their distance in Å.
Fractional coordinates of all 4 atoms:
Er 0.0000 0.0000 0.0000  4 Zr 3.28, 8 Pu 3.34
Pu 0.0000 0.5000 0.5000  4 Pu 3.28, 4 Zr 3.34, 4 Er 3.34
Pu 0.5000 0.0000 0.5000  4 Pu 3.28, 4 Zr 3.34, 4 Er 3.34
Zr 0.5000 0.5000 0.0000  4 Er 3.28, 8 Pu 3.34

***

Version 3
A relaxed structure of ErPu2Zr. Source: Alexandria, functional PBE.

Values from the calculation:
Space group ... P4/mmm (123)
ρ ... 11.86 g cm⁻³

abc: 3.2872 3.2872 9.6740
angles: 90.00 90.00 90.00
Last column: nearest neighbours and their distance in Å.
Fractional coordinates of all 4 atoms:
Er 0.0000 0.0000 0.0000  4 Er 3.29, 8 Pu 3.46
Pu 0.5000 0.5000 0.2653  4 Zr 3.25, 4 Pu 3.29, 4 Er 3.46
Pu 0.5000 0.5000 0.7347  4 Zr 3.25, 4 Pu 3.29, 4 Er 3.46
Zr 0.0000 0.0000 0.5000  8 Pu 3.25, 4 Zr 3.29

***

Stability verdict: version 3, ahead by 1.5 kJ/mol of atoms

***

Version 1
A relaxed structure of RbEr4S6. Source: Alexandria, functional PBE.

Values from the calculation:
Space group ... Cmcm (63)
ρ ... 5.83 g cm⁻³

abc: 6.8386 6.8386 20.9510
angles: 90.00 90.00 146.59
Last column: nearest neighbours and their distance in Å.
Fractional coordinates of all 22 atoms:
Rb 0.1518 0.8482 0.7500  6 S 3.22-3.28
Rb 0.8482 0.1518 0.2500  6 S 3.22-3.28
Er 0.1000 0.9000 0.1328  5 S 2.56-2.83
Er 0.1000 0.9000 0.3672  5 S 2.56-2.83
Er 0.3690 0.6310 0.0401  6 S 2.61-2.80
Er 0.3690 0.6310 0.4599  6 S 2.61-2.80
Er 0.6310 0.3690 0.5401  6 S 2.61-2.80
Er 0.6310 0.3690 0.9599  6 S 2.61-2.80
Er 0.9000 0.1000 0.6328  5 S 2.56-2.83
Er 0.9000 0.1000 0.8672  5 S 2.56-2.83
S 0.0000 0.0000 0.0000  4 Er 2.74
S 0.0000 0.0000 0.5000  4 Er 2.74
S 0.1539 0.8461 0.2500  2 Er 2.56
S 0.2707 0.7293 0.5787  5 Er 2.80-2.83
S 0.2707 0.7293 0.9213  5 Er 2.80-2.83
S 0.4664 0.5336 0.1486  3 Er 2.61-2.65
S 0.4664 0.5336 0.3514  3 Er 2.61-2.65
S 0.5336 0.4664 0.6486  3 Er 2.61-2.65
S 0.5336 0.4664 0.8514  3 Er 2.61-2.65
S 0.7293 0.2707 0.0787  5 Er 2.80-2.83
S 0.7293 0.2707 0.4213  5 Er 2.80-2.83
S 0.8461 0.1539 0.7500  2 Er 2.56

***

Version 2
A relaxed structure of RbEr4S6. Source: Alexandria, functional PBE.

Values from the calculation:
Space group ... I-42m (121)
ρ ... 5.79 g cm⁻³

abc: 7.1467 7.1467 7.1467
angles: 115.90 115.90 97.27
Last column: nearest neighbours and their distance in Å.
Fractional coordinates of all 11 atoms:
Rb 0.0000 0.0000 0.0000  8 S 3.41-3.79, 4 Er 3.47
Er 0.2027 0.5835 0.0000  6 S 2.62-2.94
Er 0.4165 0.4165 0.6192  6 S 2.62-2.94
Er 0.5835 0.2027 0.0000  6 S 2.62-2.94
Er 0.7973 0.7973 0.3808  6 S 2.62-2.94
S 0.0000 0.5000 0.5000  4 Er 2.94
S 0.1675 0.1675 0.6996  4 Er 2.62-2.77
S 0.4679 0.4679 0.3004  4 Er 2.62-2.77
S 0.5000 0.0000 0.5000  4 Er 2.94
S 0.5321 0.8325 0.0000  4 Er 2.62-2.77
S 0.8325 0.5321 0.0000  4 Er 2.62-2.77

***

Stability verdict: version 1, ahead by 30.5 kJ/mol of atoms

***

Version 1
A relaxed structure of RbErTl2. Source: Alexandria, functional PBE.

Values from the calculation:
Space group ... P4/mmm (123)
ρ ... 8.17 g cm⁻³

abc: 3.8707 3.8707 8.9767
angles: 90.00 90.00 90.00
Last column: nearest neighbours and their distance in Å.
Fractional coordinates of all 4 atoms:
Rb 0.0000 0.0000 0.0000  8 Tl 3.86, 4 Rb 3.87
Er 0.0000 0.0000 0.5000  8 Tl 3.26
Tl 0.5000 0.5000 0.3026  4 Er 3.26, 1 Tl 3.54
Tl 0.5000 0.5000 0.6974  4 Er 3.26, 1 Tl 3.54

***

Version 2
A relaxed structure of RbErTl2. Source: Alexandria, functional PBE.

Values from the calculation:
Space group ... R-3m (166)
ρ ... 8.06 g cm⁻³

abc: 3.7696 3.7696 33.2329
angles: 90.00 90.00 120.00
Last column: nearest neighbours and their distance in Å.
Fractional coordinates of all 12 atoms:
Rb 0.0000 0.0000 0.0000  6 Rb 3.77, 6 Tl 3.78
Rb 0.3333 0.6667 0.6667  6 Rb 3.77, 6 Tl 3.78
Rb 0.6667 0.3333 0.3333  6 Rb 3.77, 6 Tl 3.78
Er 0.0000 0.0000 0.5000  6 Tl 3.28
Er 0.3333 0.6667 0.1667  6 Tl 3.28
Er 0.6667 0.3333 0.8333  6 Tl 3.28
Tl 0.0000 0.0000 0.2405  3 Er 3.28
Tl 0.0000 0.0000 0.7595  3 Er 3.28
Tl 0.3333 0.6667 0.4262  3 Er 3.28
Tl 0.3333 0.6667 0.9072  3 Er 3.28
Tl 0.6667 0.3333 0.0928  3 Er 3.28
Tl 0.6667 0.3333 0.5738  3 Er 3.28

***

Stability verdict: version 1, ahead by 14.9 kJ/mol of atoms

***

Version 1
A relaxed structure of ErReTc. Source: Alexandria, functional PBE.

Values from the calculation:
Space group ... I4mm (107)
ρ ... 13.59 g cm⁻³

abc: 3.1244 3.1244 11.3037
angles: 90.00 90.00 90.00
Last column: nearest neighbours and their distance in Å.
Fractional coordinates of all 6 atoms:
Er 0.0000 0.0000 0.0000  4 Re 3.08, 4 Tc 3.09, 4 Er 3.12
Er 0.5000 0.5000 0.5000  4 Re 3.08, 4 Tc 3.09, 4 Er 3.12
Re 0.0000 0.0000 0.3104  4 Tc 2.59
Re 0.5000 0.5000 0.8104  4 Tc 2.59
Tc 0.0000 0.0000 0.6909  4 Re 2.59
Tc 0.5000 0.5000 0.1909  4 Re 2.59

***

Version 2
A relaxed structure of ErReTc. Source: Alexandria, functional PBE.

Values from the calculation:
Space group ... Imma (74)
ρ ... 13.54 g cm⁻³

abc: 5.3083 5.5290 7.5435
angles: 90.00 90.00 90.00
Last column: nearest neighbours and their distance in Å.
Fractional coordinates of all 12 atoms:
Er 0.0000 0.2500 0.1250  6 Re 3.12-3.21, 6 Tc 3.14-3.15, 4 Er 3.26-3.35
Er 0.0000 0.7500 0.8750  6 Re 3.12-3.21, 6 Tc 3.14-3.15, 4 Er 3.26-3.35
Er 0.5000 0.2500 0.3750  6 Re 3.12-3.21, 6 Tc 3.14-3.15, 4 Er 3.26-3.35
Er 0.5000 0.7500 0.6250  6 Re 3.12-3.21, 6 Tc 3.14-3.15, 4 Er 3.26-3.35
Re 0.2500 0.2500 0.7500  2 Re 2.65, 4 Tc 2.69
Re 0.2500 0.7500 0.2500  2 Re 2.65, 4 Tc 2.69
Re 0.7500 0.2500 0.7500  2 Re 2.65, 4 Tc 2.69
Re 0.7500 0.7500 0.2500  2 Re 2.65, 4 Tc 2.69
Tc 0.0000 0.0000 0.5000  4 Re 2.69, 2 Tc 2.76
Tc 0.0000 0.5000 0.5000  4 Re 2.69, 2 Tc 2.76
Tc 0.5000 0.0000 0.0000  4 Re 2.69, 2 Tc 2.76
Tc 0.5000 0.5000 0.0000  4 Re 2.69, 2 Tc 2.76

***

Version 3
A relaxed structure of ErReTc. Source: Alexandria, functional PBE.

Values from the calculation:
Space group ... Amm2 (38)
ρ ... 13.59 g cm⁻³

abc: 8.7245 5.4138 5.4138
angles: 59.61 90.00 90.00
Last column: nearest neighbours and their distance in Å.
Fractional coordinates of all 12 atoms:
Er 0.1883 0.0000 0.0000  5 Tc 3.11-3.15, 7 Re 3.16-3.18, 4 Er 3.29-3.31
Er 0.3120 0.3330 0.3330  7 Tc 3.11-3.17, 5 Re 3.12-3.18, 4 Er 3.28-3.31
Er 0.6880 0.3330 0.3330  7 Tc 3.11-3.17, 5 Re 3.12-3.18, 4 Er 3.28-3.31
Er 0.8117 0.0000 0.0000  5 Tc 3.11-3.15, 7 Re 3.16-3.18, 4 Er 3.29-3.31
Re 0.0000 0.0072 0.4948  4 Re 2.62-2.76, 2 Tc 2.63-2.78
Re 0.0000 0.4948 0.0072  4 Re 2.62-2.76, 2 Tc 2.63-2.78
Re 0.2511 0.6671 0.6671  4 Tc 2.70-2.73, 2 Re 2.71
Re 0.7489 0.6671 0.6671  4 Tc 2.70-2.73, 2 Re 2.71
Tc 0.0000 0.4937 0.4937  6 Re 2.63-2.78
Tc 0.5000 0.3226 0.8388  4 Tc 2.60-2.79, 2 Re 2.70
Tc 0.5000 0.8381 0.8381  4 Tc 2.62-2.79, 2 Re 2.70
Tc 0.5000 0.8388 0.3226  4 Tc 2.60-2.79, 2 Re 2.70

***

Stability verdict: version 3, ahead by 2.7 kJ/mol of atoms

***

Version 1
A relaxed structure of ErThRe. Source: Alexandria, functional PBE.

Values from the calculation:
Space group ... R-3m (166)
ρ ... 12.86 g cm⁻³

abc: 13.8517 13.8517 13.8517
angles: 26.12 26.12 26.12
Last column: nearest neighbours and their distance in Å.
Fractional coordinates of all 18 atoms:
Er 0.0355 0.0355 0.0355  1 Er 2.85
Er 0.1830 0.1830 0.1830  9 Th 3.49-3.54, 3 Re 3.67, 4 Er 3.77-3.84
Er 0.2769 0.2769 0.2769  3 Re 2.90
Er 0.7231 0.7231 0.7231  3 Re 2.90
Er 0.8170 0.8170 0.8170  9 Th 3.49-3.54, 3 Re 3.67, 4 Er 3.77-3.84
Er 0.9645 0.9645 0.9645  1 Er 2.85
Th 0.2264 0.7235 0.7235  2 Re 2.93-3.12, 4 Th 3.11-3.15
Th 0.2765 0.2765 0.7736  2 Re 2.93-3.12, 4 Th 3.11-3.15
Th 0.2765 0.7736 0.2765  2 Re 2.93-3.12, 4 Th 3.11-3.15
Th 0.7235 0.2264 0.7235  2 Re 2.93-3.12, 4 Th 3.11-3.15
Th 0.7235 0.7235 0.2264  2 Re 2.93-3.12, 4 Th 3.11-3.15
Th 0.7736 0.2765 0.2765  2 Re 2.93-3.12, 4 Th 3.11-3.15
Re 0.0000 0.5000 0.5000  2 Re 2.56
Re 0.3785 0.3785 0.3785  3 Re 2.56
Re 0.5000 0.0000 0.5000  2 Re 2.56
Re 0.5000 0.5000 0.0000  2 Re 2.56
Re 0.5000 0.5000 0.5000  6 Th 2.93
Re 0.6215 0.6215 0.6215  3 Re 2.56

***

Version 2
A relaxed structure of ErThRe. Source: Alexandria, functional PBE.

Values from the calculation:
Space group ... I4mm (107)
ρ ... 12.27 g cm⁻³

abc: 3.4677 3.4677 13.1777
angles: 90.00 90.00 90.00
Last column: nearest neighbours and their distance in Å.
Fractional coordinates of all 6 atoms:
Er 0.0000 0.0000 0.0000  4 Re 3.00
Er 0.5000 0.5000 0.5000  4 Re 3.00
Th 0.0000 0.0000 0.2575  4 Re 2.97
Th 0.5000 0.5000 0.7575  4 Re 2.97
Re 0.0000 0.0000 0.6305  4 Th 2.97, 4 Er 3.00
Re 0.5000 0.5000 0.1305  4 Th 2.97, 4 Er 3.00

***

Stability verdict: version 2, ahead by 22.4 kJ/mol of atoms

***

Version 1
A relaxed structure of ErURe. Source: Alexandria, functional PBE.

Values from the calculation:
Space group ... I4mm (107)
ρ ... 15.09 g cm⁻³

abc: 3.4486 3.4486 10.9446
angles: 90.00 90.00 90.00
Last column: nearest neighbours and their distance in Å.
Fractional coordinates of all 6 atoms:
Er 0.0000 0.0000 0.0000  5 Re 3.18-3.43, 5 U 3.28, 4 Er 3.45
Er 0.5000 0.5000 0.5000  5 Re 3.18-3.43, 5 U 3.28, 4 Er 3.45
U 0.0000 0.0000 0.6999  4 Re 2.74
U 0.5000 0.5000 0.1999  4 Re 2.74
Re 0.0000 0.0000 0.3131  4 U 2.74
Re 0.5000 0.5000 0.8131  4 U 2.74

***

Version 2
A relaxed structure of ErURe. Source: Alexandria, functional PBE.

Values from the calculation:
Space group ... Pmmn (59)
ρ ... 15.01 g cm⁻³

abc: 3.1700 4.9394 8.3557
angles: 90.00 90.00 90.00
Last column: nearest neighbours and their distance in Å.
Fractional coordinates of all 6 atoms:
Er 0.2500 0.2500 0.1208  2 Er 3.17, 5 U 3.21-3.32, 2 Re 3.26
Er 0.7500 0.7500 0.8792  2 Er 3.17, 5 U 3.21-3.32, 2 Re 3.26
U 0.2500 0.2500 0.7239  4 Re 2.70-2.92
U 0.7500 0.7500 0.2761  4 Re 2.70-2.92
Re 0.2500 0.7500 0.5381  4 U 2.70-2.92, 4 Re 3.00
Re 0.7500 0.2500 0.4619  4 U 2.70-2.92, 4 Re 3.00

***

Stability verdict: version 1, ahead by 30.2 kJ/mol of atoms